Record 1
First-principles (PBE) data for an optimized crystal structure of CsSrTi2Rh, as listed in Alexandria.

```
CsSrTi2Rh
1.0
5.4394 0.0000 0.0000
0.0000 5.4394 0.0000
0.0000 0.0000 5.2786
Cs Sr Ti Rh
1 1 2 1
direct
0.0000 0.0000 0.0000
0.5000 0.5000 0.5000
0.0000 0.5000 0.5000
0.5000 0.0000 0.5000
0.5000 0.5000 0.0000
```

The calculation puts the density of states at the Fermi level at 8.7 states/eV/cell. The calculation puts the energy at -16.60 eV/cell. Its calculated formation energy is 1.8161 eV/atom. The value obtained for the size of the total moment is 4.151 μB per cell.


Record 2
First-principles (PBE) data for an optimized crystal structure of Y4Ho6Tm19, as listed in Alexandria.

```
Y4Ho6Tm19
1.0
-6.1701 6.1701 6.1701
6.1701 -6.1701 6.1701
6.1701 6.1701 -6.1701
Y Ho Tm
4 6 19
direct
0.0000 0.0000 0.3570
0.0000 0.3570 0.0000
0.3570 0.0000 0.0000
0.6430 0.6430 0.6430
0.1298 0.5000 0.6298
0.3702 0.8702 0.5000
0.5000 0.3702 0.8702
0.5000 0.6298 0.1298
0.6298 0.1298 0.5000
0.8702 0.5000 0.3702
0.0000 0.0000 0.0000
0.0000 0.2630 0.2630
0.0000 0.7370 0.7370
0.0144 0.2108 0.6753
0.1964 0.9856 0.6609
0.2108 0.6753 0.0144
0.2630 0.0000 0.2630
0.2630 0.2630 0.0000
0.3247 0.5355 0.3391
0.3391 0.3247 0.5355
0.4645 0.7892 0.8036
0.5355 0.3391 0.3247
0.6609 0.1964 0.9856
0.6753 0.0144 0.2108
0.7370 0.0000 0.7370
0.7370 0.7370 0.0000
0.7892 0.8036 0.4645
0.8036 0.4645 0.7892
0.9856 0.6609 0.1964
```

The calculation puts the density of states at the Fermi level at 46.5 states/eV/cell. The calculation puts the energy at -126.60 eV/cell. Its calculated formation energy is 0.4028 eV/atom. The value obtained for the size of the total moment is 0.000 μB per cell.


Record 3
First-principles (PBE) data for an optimized crystal structure of Ho7In2Tc2, as listed in Alexandria.

```
Ho7In2Tc2
1.0
3.6636 -5.5274 0.0000
3.6636 5.5274 0.0000
0.0000 0.0000 7.5440
Ho In Tc
7 2 2
direct
0.0000 0.0000 0.0000
0.0000 0.5000 0.2674
0.0000 0.5000 0.7326
0.5000 0.0000 0.2674
0.5000 0.0000 0.7326
0.5000 0.5000 0.2183
0.5000 0.5000 0.7817
0.1890 0.1890 0.5000
0.8110 0.8110 0.5000
0.2978 0.7022 0.0000
0.7022 0.2978 0.0000
```

The calculation puts the density of states at the Fermi level at 6.3 states/eV/cell. The calculation puts the energy at -59.08 eV/cell. Its calculated formation energy is -0.0756 eV/atom. The value obtained for the size of the total moment is 0.000 μB per cell.


Record 4
First-principles (PBE) data for an optimized crystal structure of LaSc2Mn, as listed in Alexandria.

```
LaSc2Mn
1.0
7.2745 0.0000 0.0000
0.0000 7.2745 0.0000
0.0000 0.0000 7.2745
La Sc Mn
4 8 4
direct
0.0000 0.0000 0.0000
0.0000 0.5000 0.5000
0.5000 0.0000 0.5000
0.5000 0.5000 0.0000
0.0000 0.0000 0.5000
0.0000 0.5000 0.0000
0.2500 0.2500 0.2500
0.2500 0.7500 0.7500
0.5000 0.0000 0.0000
0.5000 0.5000 0.5000
0.7500 0.2500 0.7500
0.7500 0.7500 0.2500
0.2500 0.2500 0.7500
0.2500 0.7500 0.2500
0.7500 0.2500 0.2500
0.7500 0.7500 0.7500
```

The calculation puts the density of states at the Fermi level at 19.8 states/eV/cell. The calculation puts the energy at -103.29 eV/cell. Its calculated formation energy is 0.2342 eV/atom. The energy above the lowest structure with this stoichiometry comes out at 154 meV/atom. The value obtained for the size of the total moment is 7.267 μB per cell.


Record 5
First-principles (PBE) data for an optimized crystal structure of Cd2In2Ag7, as listed in Alexandria.

```
Cd2In2Ag7
1.0
4.8311 -4.9495 0.0000
4.8311 4.9495 0.0000
-2.3000 0.0000 4.6431
Cd In Ag
2 2 7
direct
0.1004 0.1004 0.3269
0.8996 0.8996 0.6731
0.3135 0.6865 0.0000
0.6865 0.3135 0.0000
0.0867 0.5705 0.3277
0.2441 0.2441 0.9447
0.4295 0.9133 0.6723
0.5000 0.5000 0.5000
0.5705 0.0867 0.3277
0.7559 0.7559 0.0553
0.9133 0.4295 0.6723
```

The calculation puts the density of states at the Fermi level at 3.0 states/eV/cell. The calculation puts the energy at -27.19 eV/cell. Its calculated formation energy is 0.0073 eV/atom. The value obtained for the size of the total moment is 0.000 μB per cell.


Record 6
First-principles (PBE) data for an optimized crystal structure of Pm12Ho7Sc, as listed in Alexandria.

```
Pm12Ho7Sc
1.0
9.7680 5.6395 2.0533
-9.7680 5.6395 2.0533
0.0000 -11.2791 2.0533
Pm Ho Sc
12 7 1
direct
0.0000 0.4132 0.5868
0.0000 0.5868 0.4132
0.0806 0.0806 0.4331
0.0806 0.4331 0.0806
0.4132 0.0000 0.5868
0.4132 0.5868 0.0000
0.4331 0.0806 0.0806
0.5669 0.9194 0.9194
0.5868 0.0000 0.4132
0.5868 0.4132 0.0000
0.9194 0.5669 0.9194
0.9194 0.9194 0.5669
0.0000 0.0000 0.0000
0.1397 0.3802 0.3802
0.3802 0.1397 0.3802
0.3802 0.3802 0.1397
0.6198 0.6198 0.8603
0.6198 0.8603 0.6198
0.8603 0.6198 0.6198
0.5000 0.5000 0.5000
```

The calculation puts the density of states at the Fermi level at 28.4 states/eV/cell. The calculation puts the energy at -91.20 eV/cell. Its calculated formation energy is 0.2094 eV/atom. The energy above the lowest structure with this stoichiometry comes out at 51 meV/atom. The value obtained for the size of the total moment is 0.000 μB per cell.


Record 7
First-principles (PBE) data for an optimized crystal structure of Ba3TiS5, as listed in Alexandria.

```
Ba3TiS5
1.0
-4.2800 4.2800 6.9772
4.2800 -4.2800 6.9772
4.2800 4.2800 -6.9772
Ba Ti S
6 2 10
direct
0.1634 0.6634 0.8268
0.2500 0.2500 0.0000
0.3366 0.1634 0.5000
0.6634 0.8366 0.5000
0.7500 0.7500 0.0000
0.8366 0.3366 0.1732
0.2500 0.7500 0.5000
0.7500 0.2500 0.5000
0.0000 0.0000 0.0000
0.0045 0.8001 0.5000
0.1999 0.6999 0.2044
0.3001 0.5045 0.5000
0.4955 0.9955 0.7956
0.5000 0.5000 0.0000
0.5045 0.0045 0.2044
0.6999 0.4955 0.5000
0.8001 0.3001 0.7956
0.9955 0.1999 0.5000
```

The calculation puts the density of states at the Fermi level at 0.0 states/eV/cell. The calculation puts the energy at -102.28 eV/cell. As for the uncorrected formation energy: -1.8713 eV/atom. The value obtained for the size of the total moment is 0.000 μB per cell.


Record 8
First-principles (PBE) data for an optimized crystal structure of Ba2In3Sn4, as listed in Alexandria.

```
Ba2In3Sn4
1.0
3.4297 -8.8489 0.0000
3.4297 8.8489 0.0000
0.0000 0.0000 9.2468
Ba In Sn
4 6 8
direct
0.1134 0.8866 0.9165
0.3866 0.6134 0.4165
0.6134 0.3866 0.5835
0.8866 0.1134 0.0835
0.0000 0.0000 0.5000
0.0277 0.4723 0.7500
0.4723 0.0277 0.2500
0.5000 0.5000 0.0000
0.5277 0.9723 0.7500
0.9723 0.5277 0.2500
0.1827 0.8173 0.5378
0.1947 0.3053 0.7500
0.3053 0.1947 0.2500
0.3173 0.6827 0.0378
0.6827 0.3173 0.9622
0.6947 0.8053 0.7500
0.8053 0.6947 0.2500
0.8173 0.1827 0.4622
```

The calculation puts the density of states at the Fermi level at 7.7 states/eV/cell. The calculation puts the energy at -63.14 eV/cell. Its calculated formation energy is -0.3885 eV/atom. The value obtained for the size of the total moment is 0.000 μB per cell.


Record 9
First-principles (PBE) data for an optimized crystal structure of MnReRuC2, as listed in Alexandria.

```
MnReRuC2
1.0
3.6245 0.0000 0.0000
0.0000 3.6245 0.0000
0.0000 0.0000 5.0195
Mn Re Ru C
1 1 1 2
direct
0.0000 0.0000 0.0000
0.0000 0.0000 0.5000
0.5000 0.5000 0.5000
0.0000 0.5000 0.0000
0.5000 0.0000 0.0000
```

The calculation puts the density of states at the Fermi level at 4.8 states/eV/cell. The calculation puts the energy at -40.06 eV/cell. Its calculated formation energy is 1.8566 eV/atom. The value obtained for the size of the total moment is 0.000 μB per cell.


Record 10
First-principles (PBE) data for an optimized crystal structure of RbSeBr3, as listed in Alexandria.

```
RbSeBr3
1.0
6.1922 -7.3174 0.0000
6.1922 7.3174 0.0000
-0.4983 0.0000 8.5152
Rb Se Br
4 4 12
direct
0.1122 0.3553 0.2864
0.3553 0.1122 0.7864
0.6447 0.8878 0.2136
0.8878 0.6447 0.7136
0.2290 0.7710 0.2500
0.3659 0.6341 0.7500
0.6341 0.3659 0.2500
0.7710 0.2290 0.7500
0.0964 0.8657 0.0319
0.1343 0.9036 0.4681
0.1578 0.4213 0.6972
0.3531 0.5943 0.0493
0.4057 0.6469 0.4507
0.4213 0.1578 0.1972
0.5787 0.8422 0.8028
0.5943 0.3531 0.5493
0.6469 0.4057 0.9507
0.8422 0.5787 0.3028
0.8657 0.0964 0.5319
0.9036 0.1343 0.9681
```

The calculation puts the density of states at the Fermi level at 0.0 states/eV/cell. The calculation puts the energy at -52.73 eV/cell. As for the uncorrected formation energy: -0.7424 eV/atom. The value obtained for the size of the total moment is 0.000 μB per cell.